DFT (PBE) results for crystalline LaTiV2In at its relaxed geometry.

Lattice parameters (Å, degrees): 4.663 5.290 4.663 90.00 90.00 90.00
Each line ends with the local moment (μB).
Sites, in units of the cell vectors:
V (0.000, 0.000, 0.500)  1.25
V (0.500, 0.000, 0.000)  1.54
In (0.000, 0.500, 0.000)  -0.06
Ti (0.000, 0.000, 0.000)  -0.17
La (0.500, 0.500, 0.500)  0.07

=====

DFT (PBE) results for crystalline La2TlIn at its relaxed geometry.

Lattice parameters (Å, degrees): 5.844 5.844 5.844 126.95 126.97 78.31
Sites, in units of the cell vectors:
Tl (0.750, 0.250, 0.500)
In (0.250, 0.750, 0.500)
La (0.000, 0.000, 0.000)
La (0.500, 0.500, 0.000)

=====

DFT (PBE) results for crystalline LaTl2In at its relaxed geometry.

Lattice parameters (Å, degrees): 3.991 3.991 7.429 90.00 90.00 90.00
Sites, in units of the cell vectors:
In (0.000, 0.000, 0.479)
La (0.500, 0.500, 0.745)
Tl (0.000, 0.000, 0.020)
Tl (0.500, 0.500, 0.256)

=====

DFT (PBE) results for crystalline LaTl2In at its relaxed geometry.

Lattice parameters (Å, degrees): 11.066 11.066 11.066 18.44 18.44 18.44
Sites, in units of the cell vectors:
In (0.250, 0.250, 0.250)
La (0.750, 0.750, 0.750)
Tl (0.996, 0.996, 0.996)
Tl (0.504, 0.504, 0.504)

=====

DFT (PBE) results for crystalline La2TlIn at its relaxed geometry.

Lattice parameters (Å, degrees): 3.759 3.759 8.792 90.00 90.00 90.00
Sites, in units of the cell vectors:
Tl (0.500, 0.500, 0.250)
In (0.500, 0.500, 0.750)
La (0.000, 0.000, 0.997)
La (0.000, 0.000, 0.503)

=====

DFT (PBE) results for crystalline La2TlIn at its relaxed geometry.

Lattice parameters (Å, degrees): 5.828 5.828 3.726 90.00 90.00 103.73
Sites, in units of the cell vectors:
Tl (0.500, 0.000, 0.500)
La (0.000, 0.000, 0.000)
La (0.500, 0.500, 0.000)
In (0.000, 0.500, 0.500)

=====

DFT (PBE) results for crystalline La2Tl2In at its relaxed geometry.

Lattice parameters (Å, degrees): 7.991 7.991 4.876 90.00 90.00 90.00
Sites, in units of the cell vectors:
Tl (0.366, 0.866, 0.000)
Tl (0.866, 0.634, 0.000)
Tl (0.634, 0.134, 0.000)
Tl (0.134, 0.366, 0.000)
In (0.000, 0.000, 0.000)
In (0.500, 0.500, 0.000)
La (0.170, 0.670, 0.500)
La (0.670, 0.830, 0.500)
La (0.830, 0.330, 0.500)
La (0.330, 0.170, 0.500)

Summary:
**ΔE to the lowest computed polymorph**: 12.7 meV/atom

=====

DFT (PBE) results for crystalline LaTl2In at its relaxed geometry.

Lattice parameters (Å, degrees): 6.107 6.634 3.463 76.57 86.42 116.36
Each line ends with the local moment (μB).
Sites, in units of the cell vectors:
In (0.000, 0.500, 0.500)  0.00
La (0.500, 0.500, 0.000)  0.14
Tl (0.000, 0.000, 0.000)  0.00
Tl (0.500, 0.000, 0.500)  0.00

=====

Sequential formation enthalpy at 0 K output: 0.587 -0.467 -0.221 -0.089 -0.471 -0.472 -0.403 -0.201 eV/atom